Density functional theory data (PBE) for a relaxed structure of GaSn3Au3.

Cell lengths 8.255, 11.403, 7.056 Å; angles 90.00, 98.39, 90.00 degrees
Space group C2/m (No. 12)
Asymmetric unit:
Ga  0.135  0.000  0.137 x4
Sn  0.000  0.160  0.500 x4
Sn  0.000  0.283  0.000 x4
Sn  0.004  0.500  0.291 x4
Au  0.168  0.000  0.770 x4
Au  0.234  0.304  0.727 x8

Computed properties:
Its excess energy over the best structure of this formula in the dataset is 0.016 eV/atom. The value obtained for the formation energy is -8.32 kJ/mol of atoms.

Density functional theory data (PBE) for a relaxed structure of HfScBe3.

Cell lengths 4.335, 4.335, 4.335 Å; angles 90.00, 90.00, 90.00 degrees
Space group Pm-3m (No. 221)
Asymmetric unit:
Hf  0.000  0.000  0.000 x1
Sc  0.500  0.500  0.500 x1
Be  0.000  0.500  0.500 x3

Computed properties:
Its excess energy over the best structure of this formula in the dataset is 0.033 eV/atom. The value obtained for the formation energy is 123.30 kJ/mol of atoms.

Density functional theory data (PBE) for a relaxed structure of Er4GeBiTe2.

Cell lengths 7.483, 4.297, 7.512 Å; angles 90.00, 109.29, 90.00 degrees
Space group P2/m (No. 10)
Asymmetric unit:
Er  0.225  0.000  0.226 x2
Er  0.233  0.500  0.763 x2
Ge  0.000  0.500  0.000 x1
Bi  0.000  0.000  0.500 x1
Te  0.500  0.000  0.000 x1
Te  0.500  0.500  0.500 x1

Computed properties:
The calculation puts the calculated total energy at -5.239 eV per atom.

Density functional theory data (PBE) for a relaxed structure of AcPrGaIr.

Cell lengths 7.474, 7.474, 7.474 Å; angles 90.00, 90.00, 90.00 degrees
Space group F-43m (No. 216)
Asymmetric unit:
Ac  0.000  0.000  0.000 x4
Pr  0.000  0.000  0.500 x4
Ga  0.250  0.250  0.750 x4
Ir  0.250  0.250  0.250 x4

Computed properties:
Its excess energy over the best structure of this formula in the dataset is 0.191 eV/atom. The value obtained for the formation energy is -39.82 kJ/mol of atoms.

Density functional theory data (PBE) for a relaxed structure of Tl4SeBr3.

Cell lengths 13.470, 6.524, 6.520 Å; angles 90.00, 90.00, 90.00 degrees
Space group Pmn2_1 (No. 31)
Asymmetric unit:
Tl  0.000  0.249  0.000 x2
Tl  0.000  0.750  0.500 x2
Tl  0.237  0.750  0.001 x4
Se  0.000  0.749  0.000 x2
Br  0.000  0.250  0.500 x2
Br  0.250  0.249  0.001 x4

Computed properties:
The calculation puts the calculated total energy at -2.887 eV per atom.

Density functional theory data (PBE) for a relaxed structure of Fe2CoNi.

Cell lengths 2.468, 2.468, 7.449 Å; angles 90.00, 90.00, 90.00 degrees
Space group P4mm (No. 99)
Asymmetric unit:
Fe  0.000  0.000  0.000 x1
Fe  0.500  0.500  0.260 x1
Co  0.500  0.500  0.746 x1
Ni  0.000  0.000  0.509 x1

Computed properties:
Its excess energy over the best structure of this formula in the dataset is 0.031 eV/atom. The value obtained for the formation energy is 1.90 kJ/mol of atoms.

Density functional theory data (PBE) for a relaxed structure of Rb2PI.

Cell lengths 8.709, 8.709, 8.709 Å; angles 90.00, 90.00, 90.00 degrees
Space group Fm-3m (No. 225)
Asymmetric unit:
Rb  0.250  0.250  0.250 x8
P  0.000  0.000  0.000 x4
I  0.000  0.000  0.500 x4

Computed properties:
Its excess energy over the best structure of this formula in the dataset is 0.000 eV/atom.

Density functional theory data (PBE) for a relaxed structure of Cd7Pt2Au3.

Cell lengths 5.132, 20.439, 5.190 Å; angles 90.00, 112.21, 90.00 degrees
Space group C2/m (No. 12)
Asymmetric unit:
Cd  0.000  0.000  0.000 x2
Cd  0.000  0.096  0.500 x4
Cd  0.000  0.281  0.000 x4
Cd  0.000  0.425  0.000 x4
Pt  0.000  0.145  0.000 x4
Au  0.000  0.344  0.500 x4
Au  0.000  0.500  0.500 x2

Computed properties:
The value obtained for the formation energy is -13.20 kJ/mol of atoms.

Total magnetic moment, record by record: 0.0, 1.2, 0.0, 0.0, 0.7, 7.3, 2.0, 0.0 μB/f.u.
Theoretical density, record by record: 10.28, 5.11, 8.78, 10.02, 6.58, 8.39, 3.31, 11.65 g cm⁻³